Entry 1:
AlHCl3 PBE optimized geometry; relative energy among the computed polymorphs = 0.965 eV per atom
1.0
4.3751 0.0000 0.0000
0.0000 4.3751 0.0000
0.0000 0.0000 4.3751
H Al Cl
1 1 3
Cartesian
0.0000 0.0000 0.0000 H
2.1875 2.1875 2.1875 Al
0.0000 2.1875 0.0000 Cl
0.0000 0.0000 2.1875 Cl
2.1875 0.0000 0.0000 Cl

Entry 2:
AlHCl3 PBE optimized geometry; relative energy among the computed polymorphs = 0.000 eV per atom
1.0
-7.1835 0.9967 0.8457
0.0857 -4.0535 5.5053
2.3211 9.9109 8.0353
Al H Cl
4 4 12
Cartesian
-1.2675 2.2383 7.2519 Al
-3.5092 4.6157 7.1344 Al
-5.7428 -2.2116 6.0008 Al
0.9661 9.0657 8.3855 Al
-3.4507 6.3601 6.3514 H
-1.3260 0.4939 8.0348 H
0.7308 7.3458 9.1893 H
-5.5075 -0.4918 5.1970 H
0.3234 2.5172 8.6171 Cl
-5.1001 4.3368 5.7692 Cl
-2.3189 7.0466 12.3537 Cl
-2.4578 -0.1926 2.0326 Cl
-3.3135 2.5380 8.1699 Cl
-1.4632 4.3160 6.2164 Cl
-0.7640 -2.9183 4.7375 Cl
-4.0127 9.7723 9.6488 Cl
-1.2146 0.9003 5.6058 Cl
-3.5620 5.9537 8.7805 Cl
-4.9588 -0.9897 7.5483 Cl
0.1822 7.8437 6.8379 Cl

Entry 3:
Al2H6Cl PBE optimized geometry; final energy = -2.51 eV per atom
1.0
-1.2614 2.5229 -3.9797
-4.4866 1.8765 -0.3778
-0.6568 4.8255 0.2778
Al H Cl
2 6 1
Cartesian
-4.8036 6.9187 -3.0597 Al
-1.6012 2.3062 -1.0199 Al
-3.7342 5.1849 -1.5083 H
-3.8998 4.5541 -2.6748 H
-2.8505 5.3620 -2.4952 H
-2.6706 4.0399 -2.5713 H
-2.5049 4.6708 -1.4048 H
-3.5542 3.8629 -1.5844 H
0.0000 0.0000 0.0000 Cl

Entry 4:
AlH2Cl3 PBE optimized geometry; final energy = -3.65 eV per atom
1.0
6.7549 0.0000 0.1200
0.0000 6.4388 0.0000
1.3697 0.0000 6.6157
Al H Cl
2 4 6
Cartesian
0.4949 1.6097 0.4103 Al
7.6297 4.8291 6.3253 Al
5.3104 1.6097 4.8899 H
2.8143 4.8291 1.8457 H
2.3353 4.8291 2.4235 H
5.7893 1.6097 4.3122 H
6.0105 4.8291 4.9830 Cl
2.1141 1.6097 1.7527 Cl
5.7674 3.2194 1.3112 Cl
5.7674 0.0000 1.3112 Cl
2.3573 3.2194 5.4245 Cl
2.3573 0.0000 5.4245 Cl

Entry 5:
AlH2Cl4 PBE optimized geometry; final energy = -3.17 eV per atom
1.0
-0.8616 2.7197 1.8756
-0.2776 -3.4021 6.3412
6.2036 -1.1070 2.9835
Al H Cl
1 2 4
Cartesian
0.0000 0.0000 0.0000 Al
3.5141 -0.4287 3.8729 H
1.5503 -1.3607 7.3273 H
1.9839 -2.7182 6.3905 Cl
3.0804 0.9289 4.8098 Cl
5.2663 -2.2924 8.9169 Cl
-0.2019 0.5030 2.2834 Cl

Entry 6:
AlHCl4 PBE optimized geometry; final energy = -3.55 eV per atom
1.0
-0.9209 -3.3282 -4.9716
2.3489 -1.7019 7.3783
-8.9817 1.2923 1.1467
Al H Cl
2 2 8
Cartesian
-1.5226 -2.6192 -3.4922 Al
-6.0310 -1.1186 7.0456 Al
-1.3576 -2.0234 3.1005 H
-6.1961 -1.7144 0.4528 H
-6.5348 -0.8052 -0.7814 Cl
0.2623 -4.3257 1.6358 Cl
-1.9621 -1.1536 1.9419 Cl
-6.7310 -1.1432 4.8340 Cl
-1.0189 -2.9326 4.3348 Cl
-5.5915 -2.5842 1.6115 Cl
-7.8160 0.5879 1.9176 Cl
-0.8226 -2.5946 -1.2806 Cl